DFT (PBE-GGA) results for crystalline LaIn6Ag at its relaxed geometry.

Calculated values
* uncorrected energy: -25.7 eV/f.u.
* energy of formation: -0.187 eV/atom
* D(E_F): 0.43 states/eV per atom

a = 7.842 Å, b = 11.020 Å, c = 4.854 Å
α = 90.00°, β = 90.00°, γ = 90.00°
Space group Cmmm (No. 65)
Inequivalent atoms, fractional coordinates:
La: 0.000 0.000 0.000
In: 0.000 0.221 0.500
In: 0.200 0.500 0.500
In: 0.250 0.250 0.000
Ag: 0.000 0.500 0.000